Entry 1:
The following is a GGA-PBE calculation of BaNiGe after structural relaxation, from OQMD via LeMat-Bulk.

Cell: 6.612 6.635 7.797 Å, 90.00 119.87 90.00°
Space group P2_1/c (No. 14)
Inequivalent atoms, fractional coordinates:
Ba  0.188  0.138  0.391 x4
Ni  0.401  0.602  0.335 x4
Ge  0.315  0.650  0.593 x4

Computed properties:
- DFT total energy (eV/cell) = -54.33
- total magnetization (Bohr magnetons per cell) = 0.01

Entry 2:
The following is a GGA-PBE calculation of BaNiGe after structural relaxation, from OQMD via LeMat-Bulk.

Cell: 6.758 6.758 6.758 Å, 90.00 90.00 90.00°
Space group F-43m (No. 216)
Inequivalent atoms, fractional coordinates:
Ba  0.000  0.000  0.000 x4
Ni  0.250  0.250  0.250 x4
Ge  0.000  0.000  0.500 x4

Computed properties:
- DFT total energy (eV/cell) = -47.04
- total magnetization (Bohr magnetons per cell) = 2.03